Record 1
Computed, not measured: an optimized crystal structure of CaRuPb2 at the PBE level of DFT.

a b c (Å): 3.6613 4.9845 5.7778
angles (deg): 90.00 108.47 90.00
Sites, in units of the cell vectors:
Ca1 0.0000 0.0000 0.0000
Ru1 0.3946 0.5000 0.7844
Pb1 0.2773 0.0000 0.5536
Pb2 0.6649 0.5000 0.3323

Results
The volume is 25.00 Å³ per atom. Its raw total energy is -17.96 eV per cell. Its calculated formation energy is 0.184 eV/atom.

---

Record 2
Computed, not measured: an optimized crystal structure of CaRuPb3 at the PBE level of DFT.

a b c (Å): 5.7127 5.7127 5.7127
angles (deg): 90.00 90.00 90.00
Sites, in units of the cell vectors:
Ca1 0.0000 0.0000 0.0000
Ru1 0.5000 0.5000 0.5000
Pb1 0.0000 0.0000 0.5000
Pb2 0.0000 0.5000 0.0000
Pb3 0.5000 0.0000 0.0000

Results
The volume is 37.29 Å³ per atom. Its raw total energy is -15.10 eV per cell. Its calculated formation energy is 1.460 eV/atom.

---

Record 3
Computed, not measured: an optimized crystal structure of CaRuPb2 at the PBE level of DFT.

a b c (Å): 4.9800 4.9800 6.0226
angles (deg): 102.73 102.73 41.99
Sites, in units of the cell vectors:
Ca1 0.0000 0.0000 0.0000
Ru1 0.5000 0.5000 0.5000
Pb1 0.2321 0.2321 0.7062
Pb2 0.7679 0.7679 0.2938

Results
The volume is 24.27 Å³ per atom. Its raw total energy is -18.52 eV per cell. Its calculated formation energy is 0.043 eV/atom.

---

Record 4
Computed, not measured: an optimized crystal structure of CaRuPb2 at the PBE level of DFT.

a b c (Å): 10.7470 10.7470 10.7470
angles (deg): 155.66 155.66 34.69
Sites, in units of the cell vectors:
Ca1 0.0000 0.0000 0.0000
Ca2 0.7500 0.2500 0.5000
Ru1 0.2500 0.7500 0.5000
Ru2 0.5000 0.5000 0.0000
Pb1 0.1535 0.6250 0.0285
Pb2 0.3750 0.4035 0.5285
Pb3 0.5965 0.1250 0.9715
Pb4 0.8750 0.8465 0.4715

Results
The volume is 26.33 Å³ per atom. Its raw total energy is -34.24 eV per cell. Its calculated formation energy is 0.394 eV/atom.

---

Record 5
Computed, not measured: an optimized crystal structure of CaRuPb2 at the PBE level of DFT.

a b c (Å): 4.5643 4.5643 4.5114
angles (deg): 90.00 90.00 90.00
Sites, in units of the cell vectors:
Ca1 0.0000 0.0000 0.0000
Ru1 0.5000 0.5000 0.0000
Pb1 0.0000 0.5000 0.5000
Pb2 0.5000 0.0000 0.5000

Results
The volume is 23.50 Å³ per atom. Its raw total energy is -17.86 eV per cell. Its calculated formation energy is 0.210 eV/atom.

---

Record 6
Computed, not measured: an optimized crystal structure of CaRuPb2 at the PBE level of DFT.

a b c (Å): 5.2065 5.2065 3.5767
angles (deg): 90.34 90.34 103.66
Sites, in units of the cell vectors:
Ca1 0.0000 0.0000 0.0000
Ru1 0.5000 0.5000 0.0000
Pb1 0.0000 0.5000 0.5000
Pb2 0.5000 0.0000 0.5000

Results
The volume is 23.55 Å³ per atom. Its raw total energy is -17.67 eV per cell. Its calculated formation energy is 0.257 eV/atom.

---

Record 7
Computed, not measured: an optimized crystal structure of CaRuPb at the PBE level of DFT.

a b c (Å): 3.5264 3.5264 6.7039
angles (deg): 90.00 90.00 120.00
Sites, in units of the cell vectors:
Ca1 0.0000 0.0000 0.0000
Ru1 0.3333 0.6667 0.6896
Pb1 0.6667 0.3333 0.4131

Results
The volume is 24.07 Å³ per atom. Its raw total energy is -14.13 eV per cell. Its calculated formation energy is 0.285 eV/atom.

---

Record 8
Computed, not measured: an optimized crystal structure of CaRuPb2 at the PBE level of DFT.

a b c (Å): 3.5675 3.5675 7.7950
angles (deg): 90.00 90.00 90.00
Sites, in units of the cell vectors:
Ca1 0.0000 0.0000 0.0000
Ru1 0.5000 0.5000 0.7565
Pb1 0.0000 0.0000 0.5945
Pb2 0.5000 0.5000 0.3041

Results
The volume is 24.80 Å³ per atom. Its raw total energy is -18.25 eV per cell. Its calculated formation energy is 0.111 eV/atom.